{"formula": "MgAl6Ni3", "functional": "PBE", "state": "optimized geometry", "lattice": [[7.537, 0.000, 0.000], [0.000, 4.022, 0.000], [-1.171, 0.000, 9.950]], "species": ["Mg", "Mg", "Al", "Al", "Al", "Al", "Al", "Al", "Al", "Al", "Al", "Al", "Al", "Al", "Ni", "Ni", "Ni", "Ni", "Ni", "Ni"], "frac_coords": [[0.022, 0.250, 0.282], [0.978, 0.750, 0.718], [0.067, 0.250, 0.930], [0.206, 0.750, 0.453], [0.286, 0.750, 0.199], [0.335, 0.750, 0.735], [0.409, 0.250, 0.050], [0.442, 0.250, 0.582], [0.558, 0.750, 0.418], [0.591, 0.750, 0.950], [0.665, 0.250, 0.265], [0.714, 0.250, 0.801], [0.794, 0.250, 0.547], [0.933, 0.750, 0.070], [0.121, 0.250, 0.560], [0.244, 0.750, 0.958], [0.367, 0.250, 0.337], [0.633, 0.750, 0.663], [0.756, 0.250, 0.042], [0.879, 0.750, 0.440]], "volume_a3_per_atom": 15.08, "delta_e_f_ev_per_atom": -0.353, "dos_at_fermi_per_ev_cell": 5.3, "e_tot_ev_per_atom": -4.493, "total_magnetization_mub_per_fu": 0.00}

=====

{"formula": "Mg2AlNi", "functional": "PBE", "state": "optimized geometry", "lattice": [[3.042, 0.000, 0.000], [0.000, 3.042, 0.000], [0.000, 0.000, 7.287]], "species": ["Mg", "Mg", "Al", "Ni"], "frac_coords": [[0.000, 0.000, 0.000], [0.500, 0.500, 0.328], [0.500, 0.500, 0.720], [0.000, 0.000, 0.559]], "volume_a3_per_atom": 16.86, "delta_e_f_ev_per_atom": -0.221, "dos_at_fermi_per_ev_cell": 1.6, "e_tot_ev_per_atom": -3.400, "total_magnetization_mub_per_fu": 0.00}

=====

{"formula": "MgAl2Ni", "functional": "PBE", "state": "optimized geometry", "lattice": [[2.880, 0.000, 0.000], [0.000, 2.880, 0.000], [0.000, 0.000, 7.471]], "species": ["Mg", "Al", "Al", "Ni"], "frac_coords": [[0.000, 0.000, 0.000], [0.500, 0.500, 0.303], [0.500, 0.500, 0.697], [0.000, 0.000, 0.500]], "volume_a3_per_atom": 15.49, "delta_e_f_ev_per_atom": -0.294, "dos_at_fermi_per_ev_cell": 1.9, "e_tot_ev_per_atom": -4.009, "total_magnetization_mub_per_fu": 0.00}

=====

{"formula": "MgAl3Ni", "functional": "PBE", "state": "optimized geometry", "lattice": [[8.075, 0.000, 0.000], [0.000, 3.813, 0.000], [0.000, 0.000, 10.741]], "species": ["Mg", "Mg", "Mg", "Mg", "Al", "Al", "Al", "Al", "Al", "Al", "Al", "Al", "Al", "Al", "Al", "Al", "Ni", "Ni", "Ni", "Ni"], "frac_coords": [[0.171, 0.250, 0.015], [0.329, 0.750, 0.515], [0.671, 0.250, 0.485], [0.829, 0.750, 0.985], [0.048, 0.250, 0.417], [0.083, 0.750, 0.218], [0.167, 0.750, 0.781], [0.333, 0.250, 0.281], [0.417, 0.250, 0.718], [0.452, 0.750, 0.917], [0.548, 0.250, 0.083], [0.583, 0.750, 0.282], [0.667, 0.750, 0.719], [0.833, 0.250, 0.219], [0.917, 0.250, 0.782], [0.952, 0.750, 0.583], [0.141, 0.250, 0.634], [0.359, 0.750, 0.134], [0.641, 0.250, 0.866], [0.859, 0.750, 0.366]], "volume_a3_per_atom": 16.54, "delta_e_f_ev_per_atom": -0.297, "dos_at_fermi_per_ev_cell": 7.4, "e_tot_ev_per_atom": -4.018, "relative_energy_ev_per_atom": 0.003, "total_magnetization_mub_per_fu": 0.00}

=====

{"formula": "MgAl2Ni2", "functional": "PBE", "state": "optimized geometry", "lattice": [[7.084, 0.000, 0.000], [0.000, 7.084, 0.000], [0.000, 0.000, 2.753]], "species": ["Mg", "Mg", "Al", "Al", "Al", "Al", "Ni", "Ni", "Ni", "Ni"], "frac_coords": [[0.000, 0.000, 0.000], [0.500, 0.500, 0.000], [0.133, 0.367, 0.000], [0.367, 0.867, 0.000], [0.633, 0.133, 0.000], [0.867, 0.633, 0.000], [0.163, 0.663, 0.500], [0.337, 0.163, 0.500], [0.663, 0.837, 0.500], [0.837, 0.337, 0.500]], "volume_a3_per_atom": 13.82, "delta_e_f_ev_per_atom": -0.441, "dos_at_fermi_per_ev_cell": 2.6, "e_tot_ev_per_atom": -4.569, "relative_energy_ev_per_atom": 0.023, "total_magnetization_mub_per_fu": 0.00}

=====

{"formula": "MgAlNi5", "functional": "PBE", "state": "optimized geometry", "lattice": [[3.488, 0.000, 0.000], [0.000, 3.488, 0.000], [0.000, 0.000, 7.697]], "species": ["Mg", "Al", "Ni", "Ni", "Ni", "Ni", "Ni"], "frac_coords": [[0.000, 0.000, 0.000], [0.500, 0.500, 0.500], [0.000, 0.000, 0.500], [0.000, 0.500, 0.268], [0.000, 0.500, 0.732], [0.500, 0.000, 0.268], [0.500, 0.000, 0.732]], "volume_a3_per_atom": 13.38, "delta_e_f_ev_per_atom": -0.104, "dos_at_fermi_per_ev_cell": 9.5, "e_tot_ev_per_atom": -4.996, "total_magnetization_mub_per_fu": 0.77}

=====

{"formula": "MgAl2Ni", "functional": "PBE", "state": "optimized geometry", "lattice": [[-1.945, 1.945, 9.071], [1.945, -1.945, 9.071], [1.945, 1.945, -9.071]], "species": ["Mg", "Mg", "Al", "Al", "Al", "Al", "Ni", "Ni"], "frac_coords": [[0.000, 0.000, 0.000], [0.750, 0.250, 0.500], [0.148, 0.625, 0.023], [0.375, 0.398, 0.523], [0.602, 0.125, 0.977], [0.875, 0.852, 0.477], [0.250, 0.750, 0.500], [0.500, 0.500, 0.000]], "volume_a3_per_atom": 17.16, "delta_e_f_ev_per_atom": 0.148, "dos_at_fermi_per_ev_cell": 3.9, "e_tot_ev_per_atom": -3.568, "total_magnetization_mub_per_fu": 0.00}

=====

{"formula": "MgAl2Ni", "functional": "PBE", "state": "optimized geometry", "lattice": [[5.159, -1.406, 0.000], [5.159, 1.406, 0.000], [-1.960, 0.000, 4.246]], "species": ["Mg", "Al", "Al", "Ni"], "frac_coords": [[0.000, 0.000, 0.000], [0.562, 0.562, 0.552], [0.785, 0.785, 0.365], [0.264, 0.264, 0.892]], "volume_a3_per_atom": 15.40, "delta_e_f_ev_per_atom": -0.162, "dos_at_fermi_per_ev_cell": 1.3, "e_tot_ev_per_atom": -3.877, "total_magnetization_mub_per_fu": 0.00}